Record 1
# PrGdMg2Au4 | OQMD | PBE | relaxed
data_PrGdMg2Au4
_chemical_formula_sum 'Pr1 Gd1 Mg2 Au4'
_symmetry_space_group_name_H-M 'P 1'
_symmetry_Int_Tables_number 1
_cell_length_a 4.977
_cell_length_b 4.977
_cell_length_c 7.044
_cell_angle_alpha 90.00
_cell_angle_beta 90.00
_cell_angle_gamma 90.00
loop_
_symmetry_equiv_pos_as_xyz
'x,y,z'
loop_
_atom_site_label
_atom_site_type_symbol
_atom_site_fract_x
_atom_site_fract_y
_atom_site_fract_z
Pr1 Pr 0.000 0.000 0.000
Gd1 Gd 0.500 0.500 0.500
Mg1 Mg 0.000 0.000 0.500
Mg2 Mg 0.500 0.500 0.000
Au1 Au 0.000 0.500 0.260
Au2 Au 0.000 0.500 0.740
Au3 Au 0.500 0.000 0.260
Au4 Au 0.500 0.000 0.740
# * VASP energy: -3.9444 eV per atom
# * calculated volume: 174.5 Å³ per cell
# * SG: No. 123
# * mass density: 10.8 g/cm³

=====

Record 2
# Hf2NbCo | OQMD | PBE | relaxed
data_Hf2NbCo
_chemical_formula_sum 'Hf2 Nb1 Co1'
_symmetry_space_group_name_H-M 'P 1'
_symmetry_Int_Tables_number 1
_cell_length_a 4.621
_cell_length_b 4.621
_cell_length_c 4.621
_cell_angle_alpha 60.00
_cell_angle_beta 60.00
_cell_angle_gamma 60.00
loop_
_symmetry_equiv_pos_as_xyz
'x,y,z'
loop_
_atom_site_label
_atom_site_type_symbol
_atom_site_fract_x
_atom_site_fract_y
_atom_site_fract_z
Hf1 Hf 0.000 0.000 0.000
Hf2 Hf 0.250 0.250 0.250
Nb1 Nb 0.500 0.500 0.500
Co1 Co 0.750 0.750 0.750
# * formation energy from the elements: 0.62 eV/f.u.
# * calculated volume: 69.8 Å³ per cell
# * SG: No. 216
# * mass density: 12.1 g/cm³

=====

Record 3
# Cu3Ag | OQMD | PBE | relaxed
data_Cu3Ag
_chemical_formula_sum 'Cu6 Ag2'
_symmetry_space_group_name_H-M 'P 1'
_symmetry_Int_Tables_number 1
_cell_length_a 8.851
_cell_length_b 8.851
_cell_length_c 4.552
_cell_angle_alpha 90.19
_cell_angle_beta 90.19
_cell_angle_gamma 17.48
loop_
_symmetry_equiv_pos_as_xyz
'x,y,z'
loop_
_atom_site_label
_atom_site_type_symbol
_atom_site_fract_x
_atom_site_fract_y
_atom_site_fract_z
Cu1 Cu 0.078 0.078 0.231
Cu2 Cu 0.192 0.192 0.577
Cu3 Cu 0.308 0.308 0.925
Cu4 Cu 0.692 0.692 0.075
Cu5 Cu 0.808 0.808 0.423
Cu6 Cu 0.922 0.922 0.769
Ag1 Ag 0.441 0.441 0.267
Ag2 Ag 0.559 0.559 0.733
# * formation energy from the elements: 0.30 eV/f.u.
# * calculated volume: 107.1 Å³ per cell
# * SG: No. 12
# * mass density: 9.3 g/cm³

=====

Record 4
# SrHfPt | OQMD | PBE | relaxed
data_SrHfPt
_chemical_formula_sum 'Sr1 Hf1 Pt1'
_symmetry_space_group_name_H-M 'P 1'
_symmetry_Int_Tables_number 1
_cell_length_a 4.759
_cell_length_b 4.759
_cell_length_c 4.759
_cell_angle_alpha 60.00
_cell_angle_beta 60.00
_cell_angle_gamma 60.00
loop_
_symmetry_equiv_pos_as_xyz
'x,y,z'
loop_
_atom_site_label
_atom_site_type_symbol
_atom_site_fract_x
_atom_site_fract_y
_atom_site_fract_z
Sr1 Sr 0.000 0.000 0.000
Hf1 Hf 0.750 0.750 0.750
Pt1 Pt 0.250 0.250 0.250
# * polymorph energy (0 for the lowest one): 1083 meV/atom
# * calculated volume: 76.2 Å³ per cell
# * SG: No. 216
# * mass density: 10.1 g/cm³

=====

Record 5
# BeInFePd | OQMD | PBE | relaxed
data_BeInFePd
_chemical_formula_sum 'Be1 In1 Fe1 Pd1'
_symmetry_space_group_name_H-M 'P 1'
_symmetry_Int_Tables_number 1
_cell_length_a 4.326
_cell_length_b 4.326
_cell_length_c 4.326
_cell_angle_alpha 60.00
_cell_angle_beta 60.00
_cell_angle_gamma 60.00
loop_
_symmetry_equiv_pos_as_xyz
'x,y,z'
loop_
_atom_site_label
_atom_site_type_symbol
_atom_site_fract_x
_atom_site_fract_y
_atom_site_fract_z
Be1 Be 0.000 0.000 0.000
In1 In 0.500 0.500 0.500
Fe1 Fe 0.750 0.750 0.750
Pd1 Pd 0.250 0.250 0.250
# * polymorph energy (0 for the lowest one): 0 meV/atom
# * calculated volume: 57.3 Å³ per cell
# * SG: No. 216
# * mass density: 8.3 g/cm³

=====

Record 6
# GdTeAsO | OQMD | PBE | relaxed
data_GdTeAsO
_chemical_formula_sum 'Gd2 Te2 As2 O2'
_symmetry_space_group_name_H-M 'P 1'
_symmetry_Int_Tables_number 1
_cell_length_a 5.714
_cell_length_b 5.714
_cell_length_c 5.220
_cell_angle_alpha 90.00
_cell_angle_beta 90.00
_cell_angle_gamma 90.00
loop_
_symmetry_equiv_pos_as_xyz
'x,y,z'
loop_
_atom_site_label
_atom_site_type_symbol
_atom_site_fract_x
_atom_site_fract_y
_atom_site_fract_z
Gd1 Gd 0.250 0.750 0.000
Gd2 Gd 0.750 0.250 0.000
Te1 Te 0.250 0.250 0.406
Te2 Te 0.750 0.750 0.594
As1 As 0.250 0.250 0.901
As2 As 0.750 0.750 0.099
O1 O 0.250 0.750 0.500
O2 O 0.750 0.250 0.500
# * polymorph energy (0 for the lowest one): 581 meV/atom
# * calculated volume: 170.5 Å³ per cell
# * SG: No. 129
# * mass density: 7.3 g/cm³

=====

Record 7
# GdSiAsO | OQMD | PBE | relaxed
data_GdSiAsO
_chemical_formula_sum 'Gd2 Si2 As2 O2'
_symmetry_space_group_name_H-M 'P 1'
_symmetry_Int_Tables_number 1
_cell_length_a 4.084
_cell_length_b 4.084
_cell_length_c 8.869
_cell_angle_alpha 90.00
_cell_angle_beta 90.00
_cell_angle_gamma 90.00
loop_
_symmetry_equiv_pos_as_xyz
'x,y,z'
loop_
_atom_site_label
_atom_site_type_symbol
_atom_site_fract_x
_atom_site_fract_y
_atom_site_fract_z
Gd1 Gd 0.250 0.250 0.119
Gd2 Gd 0.750 0.750 0.881
Si1 Si 0.250 0.750 0.500
Si2 Si 0.750 0.250 0.500
As1 As 0.250 0.250 0.678
As2 As 0.750 0.750 0.322
O1 O 0.250 0.750 0.000
O2 O 0.750 0.250 0.000
# * polymorph energy (0 for the lowest one): 85 meV/atom
# * calculated volume: 147.9 Å³ per cell
# * SG: No. 129
# * mass density: 6.2 g/cm³

=====

Record 8
# TaTlAsO | OQMD | PBE | relaxed
data_TaTlAsO
_chemical_formula_sum 'Ta2 Tl2 As2 O2'
_symmetry_space_group_name_H-M 'P 1'
_symmetry_Int_Tables_number 1
_cell_length_a 4.042
_cell_length_b 4.042
_cell_length_c 9.362
_cell_angle_alpha 90.00
_cell_angle_beta 90.00
_cell_angle_gamma 90.00
loop_
_symmetry_equiv_pos_as_xyz
'x,y,z'
loop_
_atom_site_label
_atom_site_type_symbol
_atom_site_fract_x
_atom_site_fract_y
_atom_site_fract_z
Ta1 Ta 0.250 0.250 0.079
Ta2 Ta 0.750 0.750 0.921
Tl1 Tl 0.250 0.750 0.500
Tl2 Tl 0.750 0.250 0.500
As1 As 0.250 0.250 0.782
As2 As 0.750 0.750 0.218
O1 O 0.250 0.750 0.000
O2 O 0.750 0.250 0.000
# * polymorph energy (0 for the lowest one): 455 meV/atom
# * calculated volume: 153.0 Å³ per cell
# * SG: No. 129
# * mass density: 10.3 g/cm³

=====

Record 9
# NdZrPd2 | OQMD | PBE | relaxed
data_NdZrPd2
_chemical_formula_sum 'Nd1 Zr1 Pd2'
_symmetry_space_group_name_H-M 'P 1'
_symmetry_Int_Tables_number 1
_cell_length_a 4.555
_cell_length_b 5.603
_cell_length_c 5.603
_cell_angle_alpha 37.19
_cell_angle_beta 90.00
_cell_angle_gamma 90.00
loop_
_symmetry_equiv_pos_as_xyz
'x,y,z'
loop_
_atom_site_label
_atom_site_type_symbol
_atom_site_fract_x
_atom_site_fract_y
_atom_site_fract_z
Nd1 Nd 0.000 0.000 0.000
Zr1 Zr 0.500 0.278 0.278
Pd1 Pd 0.000 0.732 0.732
Pd2 Pd 0.500 0.560 0.560
# * formation energy from the elements: -2.61 eV/f.u.
# * calculated volume: 86.5 Å³ per cell
# * SG: No. 38
# * mass density: 8.6 g/cm³

=====

Record 10
# DyErSi2Mo2C | OQMD | PBE | relaxed
data_DyErSi2Mo2C
_chemical_formula_sum 'Dy1 Er1 Si2 Mo2 C1'
_symmetry_space_group_name_H-M 'P 1'
_symmetry_Int_Tables_number 1
_cell_length_a 5.881
_cell_length_b 5.881
_cell_length_c 7.122
_cell_angle_alpha 123.44
_cell_angle_beta 123.44
_cell_angle_gamma 37.68
loop_
_symmetry_equiv_pos_as_xyz
'x,y,z'
loop_
_atom_site_label
_atom_site_type_symbol
_atom_site_fract_x
_atom_site_fract_y
_atom_site_fract_z
Dy1 Dy 0.000 0.000 0.000
Er1 Er 0.150 0.150 0.591
Si1 Si 0.444 0.444 0.633
Si2 Si 0.706 0.706 0.958
Mo1 Mo 0.369 0.369 0.212
Mo2 Mo 0.781 0.781 0.381
C1 C 0.576 0.576 0.298
# * VASP energy: -7.8740 eV per atom
# * calculated volume: 122.4 Å³ per cell
# * SG: No. 8
# * mass density: 8.0 g/cm³

=====

Record 11
# SmOsPd | OQMD | PBE | relaxed
data_SmOsPd
_chemical_formula_sum 'Sm1 Os1 Pd1'
_symmetry_space_group_name_H-M 'P 1'
_symmetry_Int_Tables_number 1
_cell_length_a 4.536
_cell_length_b 4.536
_cell_length_c 4.536
_cell_angle_alpha 60.00
_cell_angle_beta 60.00
_cell_angle_gamma 60.00
loop_
_symmetry_equiv_pos_as_xyz
'x,y,z'
loop_
_atom_site_label
_atom_site_type_symbol
_atom_site_fract_x
_atom_site_fract_y
_atom_site_fract_z
Sm1 Sm 0.000 0.000 0.000
Os1 Os 0.500 0.500 0.500
Pd1 Pd 0.750 0.750 0.750
# * polymorph energy (0 for the lowest one): 0 meV/atom
# * formation energy from the elements: 1.26 eV/f.u.
# * calculated volume: 66.0 Å³ per cell
# * SG: No. 216
# * mass density: 11.2 g/cm³

=====

Record 12
# SrEr | OQMD | PBE | relaxed
data_SrEr
_chemical_formula_sum 'Sr2 Er2'
_symmetry_space_group_name_H-M 'P 1'
_symmetry_Int_Tables_number 1
_cell_length_a 3.780
_cell_length_b 3.780
_cell_length_c 12.620
_cell_angle_alpha 90.00
_cell_angle_beta 90.00
_cell_angle_gamma 120.00
loop_
_symmetry_equiv_pos_as_xyz
'x,y,z'
loop_
_atom_site_label
_atom_site_type_symbol
_atom_site_fract_x
_atom_site_fract_y
_atom_site_fract_z
Sr1 Sr 0.000 0.000 0.000
Sr2 Sr 0.000 0.000 0.500
Er1 Er 0.333 0.667 0.250
Er2 Er 0.667 0.333 0.750
# * polymorph energy (0 for the lowest one): 13 meV/atom
# * calculated volume: 156.1 Å³ per cell
# * SG: No. 194
# * mass density: 5.4 g/cm³